Here is a relaxed La2AlGePd crystal from the Alexandria database. Energies are from PBE.

```
data_La2AlGePd
_chemical_formula_sum 'La4 Al2 Ge2 Pd2'
_cell_length_a 4.3362
_cell_length_b 4.3362
_cell_length_c 14.2670
_cell_angle_alpha 90.00
_cell_angle_beta 90.00
_cell_angle_gamma 90.00
_space_group_name_H-M_alt 'P 1'
_space_group_IT_number 1
loop_
_space_group_symop_operation_xyz
'x,y,z'
loop_
_atom_site_label
_atom_site_type_symbol
_atom_site_fract_x
_atom_site_fract_y
_atom_site_fract_z
La1 La 0.0000 0.5000 0.6797
La2 La 0.0000 0.5000 0.1078
La3 La 0.5000 0.0000 0.8922
La4 La 0.5000 0.0000 0.3203
Al1 Al 0.0000 0.0000 0.5000
Al2 Al 0.5000 0.5000 0.5000
Ge1 Ge 0.5000 0.0000 0.1119
Ge2 Ge 0.0000 0.5000 0.8881
Pd1 Pd 0.5000 0.0000 0.5981
Pd2 Pd 0.0000 0.5000 0.4019
```

Output
Total moment in μB/f.u.: 0.0
Energy in eV for the cell shown: -54.13
Calculated formation energy in meV/atom: -731


Here is a relaxed La2AlGePd6 crystal from the Alexandria database. Energies are from PBE.

```
data_La2AlGePd6
_chemical_formula_sum 'La2 Al1 Ge1 Pd6'
_cell_length_a 6.6087
_cell_length_b 6.7106
_cell_length_c 8.4493
_cell_angle_alpha 50.10
_cell_angle_beta 51.16
_cell_angle_gamma 81.08
_space_group_name_H-M_alt 'P 1'
_space_group_IT_number 1
loop_
_space_group_symop_operation_xyz
'x,y,z'
loop_
_atom_site_label
_atom_site_type_symbol
_atom_site_fract_x
_atom_site_fract_y
_atom_site_fract_z
La1 La 0.7505 0.2494 0.5269
La2 La 0.2495 0.7506 0.4731
Al1 Al 0.0000 0.0000 0.0000
Ge1 Ge 0.5000 0.5000 0.0000
Pd1 Pd 0.2386 0.2615 0.5006
Pd2 Pd 0.7380 0.7612 0.0012
Pd3 Pd 0.2477 0.7520 0.8499
Pd4 Pd 0.7523 0.2480 0.1501
Pd5 Pd 0.2620 0.2388 0.9988
Pd6 Pd 0.7614 0.7385 0.4994
```

Output
Total moment in μB/f.u.: 0.0
Energy in eV for the cell shown: -56.89
Calculated formation energy in meV/atom: -752


Here is a relaxed La2Al3GePd4 crystal from the Alexandria database. Energies are from PBE.

```
data_La2Al3GePd4
_chemical_formula_sum 'La2 Al3 Ge1 Pd4'
_cell_length_a 4.3901
_cell_length_b 4.3901
_cell_length_c 10.2996
_cell_angle_alpha 90.00
_cell_angle_beta 90.00
_cell_angle_gamma 90.00
_space_group_name_H-M_alt 'P 1'
_space_group_IT_number 1
loop_
_space_group_symop_operation_xyz
'x,y,z'
loop_
_atom_site_label
_atom_site_type_symbol
_atom_site_fract_x
_atom_site_fract_y
_atom_site_fract_z
La1 La 0.5000 0.0000 0.2561
La2 La 0.0000 0.5000 0.7439
Al1 Al 0.0000 0.0000 0.5000
Al2 Al 0.5000 0.0000 0.8767
Al3 Al 0.0000 0.5000 0.1233
Ge1 Ge 0.5000 0.5000 0.5000
Pd1 Pd 0.5000 0.5000 0.0000
Pd2 Pd 0.0000 0.0000 0.0000
Pd3 Pd 0.5000 0.0000 0.6307
Pd4 Pd 0.0000 0.5000 0.3693
```

Output
Total moment in μB/f.u.: 0.0
Energy in eV for the cell shown: -55.11
Calculated formation energy in meV/atom: -864